No. 1
The following is a DFT calculation (PBE-GGA) of an optimized crystal structure of KVHg.

The structure in POSCAR format:
```
KVHg
1.0
-4.362 -3.205 0.156
2.880 -4.028 -2.192
1.806 -2.149 6.321
K V Hg
2 2 2
direct
0.000 0.500 0.891
0.500 0.000 0.109
0.500 0.000 0.577
0.000 0.500 0.423
0.000 0.000 0.500
0.500 0.500 0.500
```

Summary:
distance to the lowest polymorph of the same formula = 365.4 meV per atom
energy relative to the elements = 0.6627 eV/atom

No. 2
The following is a DFT calculation (PBE-GGA) of an optimized crystal structure of AcPm6Nd6.

The structure in POSCAR format:
```
AcPm6Nd6
1.0
-4.187 4.695 2.656
-1.802 -3.373 -5.657
-5.108 -8.262 6.554
Pm Nd Ac
6 6 1
direct
0.000 0.000 0.357
0.333 0.667 0.000
0.667 0.333 0.500
0.333 0.667 0.500
0.667 0.333 0.000
0.000 0.000 0.643
0.500 0.500 0.251
0.000 0.500 0.749
0.500 0.000 0.251
0.000 0.500 0.251
0.500 0.500 0.749
0.500 0.000 0.749
0.000 0.000 0.000
```

Summary:
energy relative to the elements = 0.2296 eV/atom

No. 3
The following is a DFT calculation (PBE-GGA) of an optimized crystal structure of Zr3HgCl.

The structure in POSCAR format:
```
Zr3HgCl
1.0
-3.809 1.363 -2.590
1.588 -2.607 -3.708
-2.458 -3.797 1.617
Zr Cl Hg
3 1 1
direct
0.500 0.000 0.000
0.000 0.500 0.000
0.000 0.000 0.500
0.000 0.000 0.000
0.500 0.500 0.500
```

Summary:
distance to the lowest polymorph of the same formula = 0.0 meV per atom
formation energy without anion corrections = -0.030 eV/atom

no.,total moment (Bohr magnetons per cell),E_tot (eV for the cell shown)
1,7.12,-17.06
2,0.00,-58.23
3,0.01,-27.94